(1)
ReC3, optimized geometry, DFT PBE; ΔE to the lowest computed polymorph = 174 meV/atom; energy of formation = 1.01 eV per atom
1.0
-3.2387 1.4063 1.8746
-3.1759 -1.5607 -1.8597
3.2452 -1.3123 1.9306
Re C
1 3
Cartesian
0.0049 0.0708 2.8648
0.0360 -1.4174 0.8082
1.1663 -1.3681 1.7021
-1.0913 -1.4224 1.7073

=====

(2)
ReC3, optimized geometry, DFT PBE; ΔE to the lowest computed polymorph = 1230 meV/atom; energy of formation = 2.06 eV per atom
1.0
3.1234 -0.0013 0.0000
-2.1853 2.2317 0.0000
0.0000 0.0000 5.7320
C Re
3 1
Cartesian
0.0000 0.0000 5.3366
0.0000 0.0000 3.2614
0.4691 1.1152 4.2990
0.4691 1.1152 1.4330

=====

(3)
ReC5, optimized geometry, DFT PBE; ΔE to the lowest computed polymorph = 146 meV/atom; energy of formation = 0.96 eV per atom
1.0
1.3402 3.9311 -0.0052
-1.3402 3.9311 -0.0052
0.0000 0.0590 4.4502
C Re
5 1
Cartesian
0.0000 4.8898 2.9193
0.0000 3.4286 2.7317
0.0000 7.0364 1.8905
0.0000 5.5856 1.6430
0.0000 7.4975 0.4715
0.0000 1.8869 4.3966

=====

(4)
Re2C, optimized geometry, DFT PBE; ΔE to the lowest computed polymorph = 494 meV/atom; energy of formation = 0.46 eV per atom
1.0
-3.8580 -3.2346 -0.3199
1.4840 -2.1947 4.2930
-1.6729 1.8449 1.5214
Re C
4 2
Cartesian
-1.8756 -4.2895 3.1390
-3.1449 -2.0105 1.7789
-0.4984 -1.1397 0.8340
-0.9021 -1.5739 3.7156
-0.8365 0.9224 0.7607
-1.1870 -2.7146 1.9865

=====

(5)
Re2C, optimized geometry, DFT PBE; ΔE to the lowest computed polymorph = 1259 meV/atom; energy of formation = 1.23 eV per atom
1.0
11.3955 0.0067 0.0000
10.0147 5.4370 0.0000
-10.7051 -2.7218 2.8016
C Re
4 8
Cartesian
5.8069 2.9218 1.4008
0.7995 0.2033 0.0000
20.6107 5.2404 0.0000
4.2079 2.5152 1.4008
7.6936 0.5108 1.4008
4.9625 1.2617 0.0000
12.7009 3.2293 0.0000
8.7093 2.2144 0.0000
16.4477 4.1820 0.0000
3.7019 -0.5041 1.4008
0.0449 1.4568 1.4008
9.9698 3.9803 1.4008

=====

(6)
Re5C, optimized geometry, DFT PBE; ΔE to the lowest computed polymorph = 172 meV/atom; energy of formation = 0.33 eV per atom
1.0
-0.1189 0.8813 2.6086
-2.3751 -1.3538 0.3491
5.3295 -8.5432 3.1290
Re C
5 1
Cartesian
0.4271 -2.9199 2.4618
0.6671 -1.0694 0.3917
4.6624 -7.4738 2.7373
2.4084 -6.0959 3.6250
2.6648 -4.2716 1.5645
-1.2470 -0.2363 1.4789

=====

(7)
ReC3, optimized geometry, DFT PBE; ΔE to the lowest computed polymorph = 1855 meV/atom; energy of formation = 2.69 eV per atom
1.0
-1.2196 -3.1888 -0.9261
1.8729 0.1541 -2.9970
2.1350 -1.1863 1.2732
C Re
3 1
Cartesian
0.0000 0.0000 0.0000
0.4577 -2.1875 0.1736
0.3267 -1.5174 -1.9615
2.0039 -0.5161 -0.8619

=====

(8)
Re2C, optimized geometry, DFT PBE; ΔE to the lowest computed polymorph = 520 meV/atom; energy of formation = 0.49 eV per atom
1.0
5.2360 0.0000 0.0000
0.0000 5.2360 0.0000
0.0000 0.0000 5.2360
C Re
4 8
Cartesian
2.6180 2.6180 0.0000
0.0000 2.6180 2.6180
2.6180 0.0000 2.6180
0.0000 0.0000 0.0000
4.4265 1.8085 4.4265
1.8085 1.8085 3.4275
4.4265 0.8095 1.8085
0.8095 3.4275 0.8095
3.4275 4.4265 4.4265
3.4275 3.4275 1.8085
0.8095 4.4265 3.4275
1.8085 0.8095 0.8095

=====

(9)
ReC3, optimized geometry, DFT PBE; ΔE to the lowest computed polymorph = 1645 meV/atom; energy of formation = 2.48 eV per atom
1.0
3.6046 0.0139 0.0000
-1.1145 3.4280 0.0000
0.0000 0.0000 2.7571
Re C
1 3
Cartesian
0.0000 0.0000 0.0000
-0.5572 1.7140 1.3785
1.8023 0.0069 1.3785
1.2451 1.7209 0.0000

=====

(10)
ReC5, optimized geometry, DFT PBE; ΔE to the lowest computed polymorph = 1518 meV/atom; energy of formation = 2.33 eV per atom
1.0
3.1500 0.0000 0.0000
0.0000 3.1500 0.0000
0.0000 0.0000 5.4346
Re C
1 5
Cartesian
1.5750 1.5750 0.0000
0.0000 0.0000 0.6975
0.0000 0.0000 2.7173
1.5750 1.5750 3.3615
1.5750 1.5750 2.0731
0.0000 0.0000 4.7371

=====

(11)
Re2C, optimized geometry, DFT PBE; ΔE to the lowest computed polymorph = 127 meV/atom; energy of formation = 0.09 eV per atom
1.0
5.2849 0.0014 0.0009
4.5115 2.7525 0.0009
4.5115 1.2683 2.4429
C Re
1 2
Cartesian
14.2789 4.0141 2.4397
8.2178 2.3102 1.4041
10.8877 3.0607 1.8603

=====

(12)
Re5C7, optimized geometry, DFT PBE; energy of formation = 0.95 eV per atom
1.0
5.4903 -0.0061 0.0000
-2.8660 4.6828 0.0000
-1.3121 -2.3384 4.7910
Re C
5 7
Cartesian
2.9851 1.4264 0.0000
0.0114 0.0204 2.8857
-0.3380 3.2911 0.0000
2.3919 4.2627 0.0000
1.3236 2.3588 1.9052
3.0866 0.6055 2.3955
3.6853 -0.2158 1.4715
0.8031 1.4312 0.0000
-0.4929 2.1287 3.3195
2.0737 0.6885 3.3195
-2.1045 3.0330 1.4715
-1.0915 2.9500 2.3955

=====

Number 9 is which compound? ReC3

=====

Which value of energy of formation does entry 7 give? 2.69 eV per atom